*w*
BaPtRh3 | Alexandria via LeMat-Bulk | PBE | optimized geometry; space-group type = Pm-3m, No. 221; DOS(E_F) = 6.4 states/eV per cell
1.0
4.925 0.000 0.000
0.000 4.925 0.000
0.000 0.000 4.925
Ba Pt Rh
1 1 3
Cartesian
0.000 0.000 0.000
2.463 2.463 2.463
0.000 2.463 2.463
2.463 0.000 2.463
2.463 2.463 0.000

=====

*x*
BaPtRh3 | Alexandria via LeMat-Bulk | PBE | optimized geometry; space-group type = Pm-3m, No. 221; DOS(E_F) = 10.0 states/eV per cell
1.0
4.976 0.000 0.000
0.000 4.976 0.000
0.000 0.000 4.976
Ba Pt Rh
1 1 3
Cartesian
0.000 0.000 0.000
2.488 2.488 2.488
0.000 0.000 2.488
0.000 2.488 0.000
2.488 0.000 0.000

=====

Most stable of them? *w*.

=====

*w*
BaRuPt2 | Alexandria via LeMat-Bulk | PBE | optimized geometry; space-group type = I4/mmm, No. 139; DOS(E_F) = 4.2 states/eV per cell
1.0
-2.215 2.215 4.171
2.215 -2.215 4.171
2.215 2.215 -4.171
Ba Ru Pt
1 1 2
Cartesian
0.000 0.000 0.000
0.000 0.000 4.171
2.215 0.000 2.085
0.000 2.215 2.085

=====

*x*
BaRuPt2 | Alexandria via LeMat-Bulk | PBE | optimized geometry; space-group type = R-3m, No. 166; DOS(E_F) = 2.2 states/eV per cell
1.0
1.495 0.863 9.979
-1.495 0.863 9.979
0.000 -1.726 9.979
Ba Ru Pt
1 1 2
Cartesian
0.000 0.000 0.000
0.000 0.000 14.969
0.000 0.000 7.106
0.000 0.000 22.831

=====

*y*
BaRuPt2 | Alexandria via LeMat-Bulk | PBE | optimized geometry; space-group type = P4mm, No. 99; DOS(E_F) = 4.1 states/eV per cell
1.0
3.377 0.000 0.000
0.000 3.377 0.000
0.000 0.000 7.499
Ba Ru Pt
1 1 2
Cartesian
0.000 0.000 0.000
1.688 1.688 4.940
0.000 0.000 3.839
1.688 1.688 2.266

=====

Most stable of them? *y*.